1.
A geometry-optimized SrTl2InCo structure. Source: Alexandria via LeMat-Bulk, functional PBE-GGA.

Geometry as POSCAR:
```
SrTl2InCo
1.0
5.1293 0.0000 0.0000
0.0000 5.1293 0.0000
0.0000 0.0000 5.0361
Sr Tl In Co
1 2 1 1
Cartesian
0.0000 0.0000 0.0000 Sr
0.0000 2.5646 2.5181 Tl
2.5646 0.0000 2.5181 Tl
2.5646 2.5646 0.0000 In
2.5646 2.5646 2.5181 Co
```

Properties
Uncorrected energy ... -3.3088 eV/atom
Space group ... P4/mmm (123)

---

2.
A geometry-optimized SrInCo2W structure. Source: Alexandria via LeMat-Bulk, functional PBE-GGA.

Geometry as POSCAR:
```
SrInCo2W
1.0
4.8378 0.0000 0.0000
0.0000 4.8378 0.0000
0.0000 0.0000 5.1800
Sr In Co W
1 1 2 1
Cartesian
0.0000 0.0000 0.0000 Sr
2.4189 2.4189 2.5900 In
0.0000 2.4189 2.5900 Co
2.4189 0.0000 2.5900 Co
2.4189 2.4189 0.0000 W
```

Properties
Uncorrected energy ... -4.7871 eV/atom
Space group ... P4/mmm (123)

---

3.
A geometry-optimized SrYIn2Co structure. Source: Alexandria via LeMat-Bulk, functional PBE-GGA.

Geometry as POSCAR:
```
SrYIn2Co
1.0
5.1565 0.0000 0.0000
0.0000 5.1565 0.0000
0.0000 0.0000 4.9803
Sr Y In Co
1 1 2 1
Cartesian
0.0000 0.0000 0.0000 Sr
2.5782 2.5782 0.0000 Y
0.0000 2.5782 2.4901 In
2.5782 0.0000 2.4901 In
2.5782 2.5782 2.4901 Co
```

Properties
Uncorrected energy ... -4.3510 eV/atom
Space group ... P4/mmm (123)

---

4.
A geometry-optimized SrZn2InCo structure. Source: Alexandria via LeMat-Bulk, functional PBE-GGA.

Geometry as POSCAR:
```
SrZn2InCo
1.0
4.7764 0.0000 0.0000
0.0000 4.7764 0.0000
0.0000 0.0000 4.8711
Sr Zn In Co
1 2 1 1
Cartesian
0.0000 0.0000 0.0000 Sr
0.0000 2.3882 2.4356 Zn
2.3882 0.0000 2.4356 Zn
2.3882 2.3882 0.0000 In
2.3882 2.3882 2.4356 Co
```

Properties
Uncorrected energy ... -2.9482 eV/atom
Space group ... P4/mmm (123)

---

5.
A geometry-optimized TaIn2Co structure. Source: Alexandria via LeMat-Bulk, functional PBE-GGA.

Geometry as POSCAR:
```
TaIn2Co
1.0
7.4368 0.0000 0.0000
0.0000 7.4368 0.0000
0.0000 0.0000 5.5135
Ta In Co
4 8 4
Cartesian
0.0000 0.0000 0.0000 Ta
0.0000 3.7184 1.3784 Ta
3.7184 0.0000 4.1351 Ta
3.7184 3.7184 2.7567 Ta
1.5595 1.8592 3.4459 In
1.8592 5.2779 4.8243 In
1.8592 5.8773 2.0676 In
2.1589 1.8592 0.6892 In
5.2779 5.5776 0.6892 In
5.5776 1.5595 2.0676 In
5.5776 2.1589 4.8243 In
5.8773 5.5776 3.4459 In
0.0000 0.0000 2.7567 Co
0.0000 3.7184 4.1351 Co
3.7184 0.0000 1.3784 Co
3.7184 3.7184 0.0000 Co
```

Properties
Uncorrected energy ... -5.5167 eV/atom
Space group ... I-42d (122)

---

6.
A geometry-optimized TaIn2Co structure. Source: Alexandria via LeMat-Bulk, functional PBE-GGA.

Geometry as POSCAR:
```
TaIn2Co
1.0
4.1524 0.0000 0.0000
0.0000 4.1524 0.0000
0.0000 0.0000 4.1443
Ta In Co
1 2 1
Cartesian
0.0000 0.0000 0.0000 Ta
0.0000 2.0762 2.0721 In
2.0762 0.0000 2.0721 In
2.0762 2.0762 0.0000 Co
```

Properties
Uncorrected energy ... -5.8088 eV/atom
Space group ... P4/mmm (123)

---

7.
A geometry-optimized TaIn2Co structure. Source: Alexandria via LeMat-Bulk, functional PBE-GGA.

Geometry as POSCAR:
```
TaIn2Co
1.0
2.9542 0.0000 0.0000
0.0000 4.5470 0.0000
0.0000 0.0000 11.3455
Ta In Co
2 4 2
Cartesian
0.0000 0.0000 0.0000 Ta
1.4771 2.2735 5.6728 Ta
0.0000 0.0000 4.4686 In
0.0000 2.2735 2.2200 In
1.4771 0.0000 7.8928 In
1.4771 2.2735 10.1413 In
0.0000 2.2735 7.6719 Co
1.4771 0.0000 1.9992 Co
```

Properties
Uncorrected energy ... -5.8532 eV/atom
Space group ... Imm2 (44)

---

8.
A geometry-optimized TaIn2Co structure. Source: Alexandria via LeMat-Bulk, functional PBE-GGA.

Geometry as POSCAR:
```
TaIn2Co
1.0
10.7558 0.0000 0.0000
0.0000 3.0150 0.0000
-2.3298 0.0000 4.4385
Ta In Co
2 4 2
Cartesian
0.0000 0.0000 0.0000 Ta
5.3779 1.5075 0.0000 Ta
0.7142 0.0000 3.2094 In
2.3339 1.5075 1.2291 In
6.0921 1.5075 3.2094 In
7.7118 0.0000 1.2291 In
-1.1649 1.5075 2.2193 Co
4.2130 0.0000 2.2193 Co
```

Properties
Uncorrected energy ... -5.7734 eV/atom
Space group ... C2/m (12)

---

9.
A geometry-optimized TaIn2Co structure. Source: Alexandria via LeMat-Bulk, functional PBE-GGA.

Geometry as POSCAR:
```
TaIn2Co
1.0
4.0887 0.0000 0.0000
0.0000 4.0887 0.0000
0.0000 0.0000 8.7747
Ta In Co
2 4 2
Cartesian
0.0000 0.0000 0.0000 Ta
2.0443 2.0443 4.3874 Ta
0.0000 2.0443 2.1937 In
0.0000 2.0443 6.5810 In
2.0443 0.0000 2.1937 In
2.0443 0.0000 6.5810 In
0.0000 0.0000 4.3874 Co
2.0443 2.0443 0.0000 Co
```

Properties
Uncorrected energy ... -5.6827 eV/atom
Space group ... I4/mmm (139)

---

10.
A geometry-optimized TaIn2Co structure. Source: Alexandria via LeMat-Bulk, functional PBE-GGA.

Geometry as POSCAR:
```
TaIn2Co
1.0
4.0858 0.0000 0.0000
0.0000 4.0858 0.0000
0.0000 0.0000 8.5919
Ta In Co
2 4 2
Cartesian
0.0000 0.0000 0.0000 Ta
2.0429 2.0429 4.2959 Ta
0.0000 0.0000 4.2959 In
0.0000 2.0429 2.1480 In
2.0429 0.0000 6.4439 In
2.0429 2.0429 0.0000 In
0.0000 2.0429 6.4439 Co
2.0429 0.0000 2.1480 Co
```

Properties
Uncorrected energy ... -5.7337 eV/atom
Space group ... I-4m2 (119)

---

11.
A geometry-optimized TaIn2Co structure. Source: Alexandria via LeMat-Bulk, functional PBE-GGA.

Geometry as POSCAR:
```
TaIn2Co
1.0
6.6081 0.0000 0.0000
0.0000 6.6081 0.0000
0.0000 0.0000 6.6081
Ta In Co
4 8 4
Cartesian
0.0000 0.0000 0.0000 Ta
0.0000 3.3041 3.3041 Ta
3.3041 0.0000 3.3041 Ta
3.3041 3.3041 0.0000 Ta
1.6520 1.6520 1.6520 In
1.6520 1.6520 4.9561 In
1.6520 4.9561 1.6520 In
1.6520 4.9561 4.9561 In
4.9561 1.6520 1.6520 In
4.9561 1.6520 4.9561 In
4.9561 4.9561 1.6520 In
4.9561 4.9561 4.9561 In
0.0000 0.0000 3.3041 Co
0.0000 3.3041 0.0000 Co
3.3041 0.0000 0.0000 Co
3.3041 3.3041 3.3041 Co
```

Properties
Uncorrected energy ... -5.5972 eV/atom
Space group ... Fm-3m (225)

---

12.
A geometry-optimized TaIn2Co structure. Source: Alexandria via LeMat-Bulk, functional PBE-GGA.

Geometry as POSCAR:
```
TaIn2Co
1.0
3.0546 0.0000 0.0000
-1.5273 2.6454 0.0000
0.0000 0.0000 27.1455
Ta In Co
3 6 3
Cartesian
0.0000 0.0000 0.0000 Ta
0.0000 1.7636 18.0970 Ta
1.5273 0.8818 9.0485 Ta
0.0000 0.0000 6.5712 In
0.0000 0.0000 20.5743 In
0.0000 1.7636 11.5258 In
0.0000 1.7636 24.6683 In
1.5273 0.8818 2.4773 In
1.5273 0.8818 15.6197 In
0.0000 0.0000 13.5728 Co
0.0000 1.7636 4.5243 Co
1.5273 0.8818 22.6213 Co
```

Properties
Uncorrected energy ... -5.7828 eV/atom
Space group ... R-3m (166)